! Ac4PtPb2 PBE-GGA relaxed; values from VASP
&SYSTEM
  ibrav = 0, nat = 14, ntyp = 3
/
ATOMIC_SPECIES
Ac 227.00 Ac.upf
Pt 195.08 Pt.upf
Pb 207.20 Pb.upf
ATOMIC_POSITIONS crystal
Ac 0.0774 0.0000 0.3537
Ac 0.1704 0.5000 0.0655
Ac 0.3296 0.0000 0.9345
Ac 0.4226 0.5000 0.6463
Ac 0.5774 0.5000 0.3537
Ac 0.6704 0.0000 0.0655
Ac 0.8296 0.5000 0.9345
Ac 0.9226 0.0000 0.6463
Pt 0.0000 0.0000 0.0000
Pt 0.5000 0.5000 0.0000
Pb 0.1383 0.5000 0.6552
Pb 0.3617 0.0000 0.3448
Pb 0.6383 0.0000 0.6552
Pb 0.8617 0.5000 0.3448
CELL_PARAMETERS angstrom
12.8398 0.0000 0.0000
0.0000 4.9060 0.0000
-5.0406 0.0000 8.1737
! Energy of formation   -0.66 eV per atom
! Total magnetization   0.00 μB per formula unit